# NaHf2VF11, relaxed, DFT PBE with a Hubbard U
data_NaHf2VF11
_cell_length_a 5.752
_cell_length_b 5.752
_cell_length_c 7.813
_cell_angle_alpha 69.49
_cell_angle_beta 69.49
_cell_angle_gamma 73.14
_space_group_name_H-M_alt 'P 1'
_space_group_IT_number 1
_space_group_name_Hall 'P 1'
loop_
_atom_site_label
_atom_site_fract_x
_atom_site_fract_y
_atom_site_fract_z
F1 0.268 0.268 0.888
F2 0.668 0.332 0.000
F3 0.198 0.777 0.307
F4 0.777 0.198 0.307
F5 0.223 0.802 0.693
F6 0.746 0.746 0.648
F7 0.732 0.732 0.112
F8 0.802 0.223 0.693
F9 0.254 0.254 0.352
F10 0.500 0.500 0.500
F11 0.332 0.668 0.000
Na1 0.000 0.000 0.000
Hf1 0.504 0.504 0.766
Hf2 0.496 0.496 0.234
V1 0.000 0.000 0.500
# Final energy = -6.79 eV/atom
# Size of the total moment = 3.000 μB/f.u.
# Volume = 14.8 A^3/atom